## VSiAgO2 (PBE with a Hubbard U)

Data for a relaxed structure of VSiAgO2.

Calculated values
Total DFT energy (no corrections)   -27.89 eV/cell
Total magnetic moment   1.094 μB per formula unit

Cell: 3.707 3.707 5.662 Å, 90.00 90.00 90.00°
Space group P4/mmm (No. 123)
Symmetry-distinct sites (fractional):
V (0.000, 0.000, 0.000) x1
Si (0.500, 0.500, 0.500) x1
Ag (0.000, 0.000, 0.500) x1
O (0.000, 0.500, 0.000) x2